HgHPt2 after structural relaxation, computed with PBE.

Unit cell a=6.1930 b=6.1930 c=6.0209 alpha=90.00 beta=90.00 gamma=90.00
Closest atoms and distances in Å follow each position.
Space group I-42d (No. 122)
Inequivalent atoms, fractional coordinates:
Hg 0.0000 0.0000 0.0000 (multiplicity 4)  8 Pt 2.84-2.89, 2 H 3.01
H 0.0000 0.0000 0.5000 (multiplicity 4)  4 Pt 1.89
Pt 0.1249 0.2500 0.6250 (multiplicity 8)  2 H 1.89

Results
* energy above the lowest structure with this stoichiometry: 0.037 eV/atom
* magnetization: 0.000 μB per formula unit
* VASP energy: -3.8270 eV/atom
* Fermi-level density of states: 8.7 states/eV per cell